The following is a PBE calculation of a relaxed structure of ErMg4Pd15, from the Alexandria database.

a b c (Å): 4.005 4.005 19.927
angles (deg): 90.00 90.00 90.00
Fractional coordinates of all 20 atoms:
1 Er 0.000 0.000 0.000
2 Mg 0.000 0.000 0.205
3 Mg 0.000 0.000 0.401
4 Mg 0.000 0.000 0.599
5 Mg 0.000 0.000 0.795
6 Pd 0.000 0.500 0.106
7 Pd 0.000 0.500 0.303
8 Pd 0.000 0.500 0.500
9 Pd 0.000 0.500 0.697
10 Pd 0.000 0.500 0.894
11 Pd 0.500 0.000 0.106
12 Pd 0.500 0.000 0.303
13 Pd 0.500 0.000 0.500
14 Pd 0.500 0.000 0.697
15 Pd 0.500 0.000 0.894
16 Pd 0.500 0.500 0.000
17 Pd 0.500 0.500 0.205
18 Pd 0.500 0.500 0.402
19 Pd 0.500 0.500 0.598
20 Pd 0.500 0.500 0.795

**Energy relative to the elements**: -0.55 eV/atom
**Space group**: P4/mmm, No. 123
**E**: -99.9 eV per cell